# Li14SnHg | the Alexandria database | PBE | optimized geometry
data_Li14SnHg
_space_group_name_H-M_alt 'P 4/m m m'
_space_group_IT_number 123
_space_group_name_Hall '-P 4 2'
_cell_length_a 6.8923
_cell_length_b 6.8923
_cell_length_c 6.2831
_cell_angle_alpha 90.00
_cell_angle_beta 90.00
_cell_angle_gamma 90.00
loop_
_atom_site_label
_atom_site_fract_x
_atom_site_fract_y
_atom_site_fract_z
_atom_site_occupancy
Li1 0.0000 0.0000 0.0000 1
Li2 0.0000 0.5000 0.0000 1
Li3 0.0000 0.5000 0.5000 1
Li4 0.2479 0.2479 0.2661 1
Li5 0.5000 0.5000 0.0000 1
Sn1 0.5000 0.5000 0.5000 1
Hg1 0.0000 0.0000 0.5000 1
# * calculated formation energy: -0.154 eV per atom
# * crystal system: tetragonal